No. 1
# Ti2H3N

An optimized crystal structure of Ti2H3N (PBE, Alexandria).

Cell and atoms, written as POSCAR:
```
Ti2H3N
1.0
4.601 -0.002 -0.004
0.004 4.601 -0.004
0.002 0.002 4.601
H N Ti
6 2 4
Direct
0.750 0.750 0.750
0.250 0.250 0.250
0.250 0.750 0.750
0.750 0.250 0.750
0.750 0.250 0.250
0.250 0.750 0.250
0.750 0.750 0.250
0.250 0.250 0.750
0.500 0.500 0.000
0.000 0.000 0.000
0.500 0.000 0.500
0.000 0.500 0.500
```

- Spin magnetization: 0.0 μB per formula unit
- Total DFT energy (no corrections): -6.288 eV per atom
- Density of states at the Fermi level: 6.34 states/eV/cell



No. 2
# Ti6Tl2HN

An optimized crystal structure of Ti6Tl2HN (PBE, Alexandria).

Cell and atoms, written as POSCAR:
```
Ti6Tl2HN
1.0
-4.833 -2.676 -2.203
2.224 -5.293 1.551
-3.758 0.618 7.494
Ti Tl N H
12 4 2 2
Direct
0.746 0.496 0.000
0.500 0.250 0.754
0.254 0.004 0.000
0.500 0.250 0.246
0.746 0.004 0.000
0.000 0.750 0.254
0.246 0.996 0.500
0.754 0.504 0.500
0.246 0.504 0.500
0.754 0.996 0.500
0.254 0.496 0.000
0.000 0.750 0.746
0.500 0.750 0.750
0.000 0.250 0.750
0.500 0.750 0.250
0.000 0.250 0.250
0.000 0.750 0.000
0.500 0.250 0.500
0.500 0.250 0.000
0.000 0.750 0.500
```

- Spin magnetization: 0.0 μB per formula unit
- Total DFT energy (no corrections): -6.849 eV per atom
- Density of states at the Fermi level: 13.01 states/eV/cell



No. 3
# YTiH2N

An optimized crystal structure of YTiH2N (PBE, Alexandria).

Cell and atoms, written as POSCAR:
```
YTiH2N
1.0
3.570 0.000 0.000
0.000 6.491 0.000
0.000 0.000 3.570
Y N H Ti
1 1 2 1
Direct
0.000 0.000 0.000
0.500 0.500 0.500
0.500 0.000 0.000
0.000 0.000 0.500
0.000 0.500 0.000
```

- Spin magnetization: 0.0 μB per formula unit
- Total DFT energy (no corrections): -5.261 eV per atom
- Density of states at the Fermi level: 2.14 states/eV/cell



No. 4
# Ti6Zn2HN

An optimized crystal structure of Ti6Zn2HN (PBE, Alexandria).

Cell and atoms, written as POSCAR:
```
Ti6Zn2HN
1.0
-0.804 5.630 -1.054
-4.687 -1.258 -3.146
-4.638 0.588 6.674
Ti Zn N H
12 4 2 2
Direct
0.000 0.750 0.746
0.253 0.003 0.000
0.753 0.503 0.500
0.747 0.497 0.000
0.000 0.750 0.254
0.253 0.497 0.000
0.247 0.997 0.500
0.500 0.250 0.246
0.500 0.250 0.754
0.247 0.503 0.500
0.747 0.003 0.000
0.753 0.997 0.500
0.000 0.250 0.250
0.000 0.250 0.750
0.500 0.750 0.250
0.500 0.750 0.750
0.500 0.250 0.500
0.000 0.750 0.000
0.000 0.750 0.500
0.500 0.250 0.000
```

- Spin magnetization: 0.0 μB per formula unit
- Total DFT energy (no corrections): -6.694 eV per atom
- Density of states at the Fermi level: 27.44 states/eV/cell



No. 5
# TlH6N2

An optimized crystal structure of TlH6N2 (PBE, Alexandria).

Cell and atoms, written as POSCAR:
```
TlH6N2
1.0
7.095 -0.926 -1.572
-4.475 5.583 -1.572
0.095 0.168 6.441
H N Tl
12 4 2
Direct
0.857 0.999 0.272
0.249 0.607 0.772
0.172 0.226 0.464
0.958 0.511 0.036
0.200 0.797 0.765
0.032 0.435 0.235
0.836 0.478 0.228
0.728 0.586 0.728
0.685 0.782 0.735
0.047 0.950 0.265
0.476 0.922 0.964
0.761 0.708 0.536
0.802 0.755 0.711
0.045 0.091 0.289
0.341 0.795 0.789
0.005 0.552 0.211
0.291 0.291 0.000
0.541 0.041 0.500
```

- Spin magnetization: 0.0 μB per formula unit
- Total DFT energy (no corrections): -4.530 eV per atom
- Density of states at the Fermi level: 4.94 states/eV/cell



No. 6
# Tl2H4N

An optimized crystal structure of Tl2H4N (PBE, Alexandria).

Cell and atoms, written as POSCAR:
```
Tl2H4N
1.0
-3.890 1.664 1.494
-1.623 -4.162 0.423
4.950 0.984 5.122
N H Tl
1 4 2
Direct
0.000 0.000 0.000
0.180 0.180 0.094
0.819 0.083 0.903
0.919 0.919 0.099
0.082 0.819 0.903
0.250 0.750 0.500
0.750 0.250 0.500
```

- Spin magnetization: 0.0 μB per formula unit
- Total DFT energy (no corrections): -3.777 eV per atom
- Density of states at the Fermi level: 1.33 states/eV/cell



No. 7
# TlHN3

An optimized crystal structure of TlHN3 (PBE, Alexandria).

Cell and atoms, written as POSCAR:
```
TlHN3
1.0
3.589 0.000 0.000
0.000 3.589 0.000
0.000 0.000 3.589
N H Tl
3 1 1
Direct
0.500 0.000 0.000
0.000 0.000 0.500
0.000 0.500 0.000
0.000 0.000 0.000
0.500 0.500 0.500
```

- Spin magnetization: 0.0 μB per formula unit
- Total DFT energy (no corrections): -3.562 eV per atom
- Density of states at the Fermi level: 3.10 states/eV/cell



No. 8
# TlH6N

An optimized crystal structure of TlH6N (PBE, Alexandria).

Cell and atoms, written as POSCAR:
```
TlH6N
1.0
5.734 0.000 0.000
2.867 4.966 0.000
2.867 1.655 2.337
H N Tl
6 1 1
Direct
0.000 0.378 0.622
0.000 0.000 0.622
0.000 0.000 0.378
0.378 0.000 0.622
0.622 0.000 0.378
0.000 0.622 0.378
0.000 0.000 0.000
0.500 0.500 0.500
```

- Spin magnetization: 0.0 μB per formula unit
- Total DFT energy (no corrections): -3.274 eV per atom
- Density of states at the Fermi level: 1.15 states/eV/cell